# 1
Entry from the Alexandria database: a geometry-optimized Pd2Ru2I structure (PBEsol).

Lattice parameters (Å, degrees): 6.775 6.775 6.775 148.49 148.49 45.17
Fractional coordinates of all 5 atoms:
Pd: 0.250 0.750 0.500
Pd: 0.750 0.250 0.500
Ru: 0.097 0.097 0.000
Ru: 0.903 0.903 0.000
I: 0.500 0.500 0.000

electronic total energy	-6.075	eV/atom
space-group type	I4/mmm (139)
total magnetic moment	0.001	μB/atom

# 2
Entry from the Alexandria database: a geometry-optimized LiTl2 structure (PBEsol).

Lattice parameters (Å, degrees): 6.246 4.816 9.310 90.00 90.00 90.00
Fractional coordinates of all 12 atoms:
Li: 0.174 0.250 0.114
Li: 0.326 0.750 0.614
Li: 0.674 0.250 0.386
Li: 0.826 0.750 0.886
Tl: 0.063 0.250 0.789
Tl: 0.159 0.250 0.439
Tl: 0.341 0.750 0.939
Tl: 0.437 0.750 0.289
Tl: 0.563 0.250 0.711
Tl: 0.659 0.250 0.061
Tl: 0.841 0.750 0.561
Tl: 0.937 0.750 0.211

DFT formation energy	-0.15	eV/atom
space-group type	Pnma (62)
energy above the lowest structure with this stoichiometry	0.0084	eV per atom
total magnetic moment	0.000	μB/atom

# 3
Entry from the Alexandria database: a geometry-optimized GaCo2CF structure (PBEsol).

Lattice parameters (Å, degrees): 3.728 3.728 4.285 90.00 90.00 90.00
Fractional coordinates of all 5 atoms:
Ga: 0.000 0.000 0.000
Co: 0.000 0.500 0.500
Co: 0.500 0.000 0.500
C: 0.500 0.500 0.000
F: 0.500 0.500 0.500

electronic total energy	-4.869	eV/atom
space-group type	P4/mmm (123)
total magnetic moment	0.753	μB/atom

# 4
Entry from the Alexandria database: a geometry-optimized Hg3PS structure (PBEsol).

Lattice parameters (Å, degrees): 5.007 5.007 5.007 90.00 90.00 90.00
Fractional coordinates of all 5 atoms:
Hg: 0.000 0.000 0.500
Hg: 0.000 0.500 0.000
Hg: 0.500 0.000 0.000
P: 0.500 0.500 0.500
S: 0.000 0.000 0.000

electronic total energy	-1.630	eV/atom
space-group type	Pm-3m (221)
total magnetic moment	0.134	μB/atom

# 5
Entry from the Alexandria database: a geometry-optimized LaTa3Bi structure (PBEsol).

Lattice parameters (Å, degrees): 5.174 5.174 5.174 90.00 90.00 90.00
Fractional coordinates of all 5 atoms:
La: 0.000 0.000 0.000
Ta: 0.000 0.500 0.500
Ta: 0.500 0.000 0.500
Ta: 0.500 0.500 0.000
Bi: 0.500 0.500 0.500

DFT formation energy	1.79	eV/atom
space-group type	Pm-3m (221)
total magnetic moment	0.000	μB/atom

# 6
Entry from the Alexandria database: a geometry-optimized LiSbF2 structure (PBEsol).

Lattice parameters (Å, degrees): 4.359 4.359 4.359 60.00 60.00 60.00
Fractional coordinates of all 4 atoms:
Li: 0.000 0.000 0.000
Sb: 0.500 0.500 0.500
F: 0.250 0.250 0.250
F: 0.750 0.750 0.750

electronic total energy	-3.836	eV/atom
space-group type	Fm-3m (225)
total magnetic moment	0.000	μB/atom

# 7
Entry from the Alexandria database: a geometry-optimized LaCoAu structure (PBEsol).

Lattice parameters (Å, degrees): 4.669 4.669 4.669 60.00 60.00 60.00
Fractional coordinates of all 3 atoms:
La: 0.000 0.000 0.000
Co: 0.500 0.500 0.500
Au: 0.750 0.750 0.750

DFT formation energy	0.18	eV/atom
space-group type	F-43m (216)
total magnetic moment	0.316	μB/atom

# 8
Entry from the Alexandria database: a geometry-optimized SrGa2Bi2 structure (PBEsol).

Lattice parameters (Å, degrees): 7.923 7.923 7.923 146.72 146.72 47.78
Fractional coordinates of all 5 atoms:
Sr: 0.000 0.000 0.000
Ga: 0.250 0.750 0.500
Ga: 0.750 0.250 0.500
Bi: 0.387 0.387 0.000
Bi: 0.613 0.613 0.000

DFT formation energy	-0.24	eV/atom
space-group type	I4/mmm (139)
total magnetic moment	0.000	μB/atom

# 9
Entry from the Alexandria database: a geometry-optimized SrTiGeO5 structure (PBEsol).

Lattice parameters (Å, degrees): 6.795 9.061 7.228 90.00 113.63 90.00
Fractional coordinates of all 32 atoms:
Sr: 0.248 0.078 0.254
Sr: 0.248 0.422 0.754
Sr: 0.752 0.578 0.246
Sr: 0.752 0.922 0.746
Ti: 0.250 0.748 0.510
Ti: 0.250 0.752 0.010
Ti: 0.750 0.248 0.990
Ti: 0.750 0.252 0.490
Ge: 0.251 0.064 0.752
Ge: 0.251 0.436 0.252
Ge: 0.749 0.564 0.748
Ge: 0.749 0.936 0.248
O: 0.056 0.183 0.583
O: 0.056 0.317 0.083
O: 0.153 0.543 0.400
O: 0.153 0.957 0.900
O: 0.249 0.691 0.750
O: 0.249 0.809 0.250
O: 0.350 0.545 0.106
O: 0.350 0.955 0.606
O: 0.446 0.186 0.917
O: 0.446 0.314 0.417
O: 0.554 0.686 0.583
O: 0.554 0.814 0.083
O: 0.650 0.045 0.394
O: 0.650 0.455 0.894
O: 0.751 0.191 0.750
O: 0.751 0.309 0.250
O: 0.847 0.043 0.100
O: 0.847 0.457 0.600
O: 0.944 0.683 0.917
O: 0.944 0.817 0.417

electronic total energy	-7.815	eV/atom
space-group type	P2_1/c (14)
total magnetic moment	0.000	μB/atom

# 10
Entry from the Alexandria database: a geometry-optimized LaTcSb2 structure (PBEsol).

Lattice parameters (Å, degrees): 3.559 3.559 7.269 90.00 90.00 90.00
Fractional coordinates of all 4 atoms:
La: 0.000 0.000 0.000
Tc: 0.500 0.500 0.696
Sb: 0.000 0.000 0.551
Sb: 0.500 0.500 0.292

space-group type	P4mm (99)
energy above the lowest structure with this stoichiometry	0.0000	eV per atom
total magnetic moment	0.000	μB/atom

# 11
Entry from the Alexandria database: a geometry-optimized La2MnW structure (PBEsol).

Lattice parameters (Å, degrees): 3.563 3.563 7.365 90.00 90.00 90.00
Fractional coordinates of all 4 atoms:
La: 0.000 0.000 0.242
La: 0.000 0.000 0.758
Mn: 0.500 0.500 0.500
W: 0.500 0.500 0.000

DFT formation energy	0.74	eV/atom
space-group type	P4/mmm (123)
energy above the lowest structure with this stoichiometry	0.4153	eV per atom
total magnetic moment	1.167	μB/atom

# 12
Entry from the Alexandria database: a geometry-optimized CaPb2C2 structure (PBEsol).

Lattice parameters (Å, degrees): 5.120 5.120 5.120 112.14 112.14 104.25
Fractional coordinates of all 5 atoms:
Ca: 0.000 0.000 0.000
Pb: 0.250 0.750 0.500
Pb: 0.750 0.250 0.500
C: 0.395 0.395 0.000
C: 0.605 0.605 0.000

DFT formation energy	0.69	eV/atom
space-group type	I4/mmm (139)
total magnetic moment	0.000	μB/atom

# 13
Entry from the Alexandria database: a geometry-optimized BePbC2 structure (PBEsol).

Lattice parameters (Å, degrees): 6.333 6.333 6.333 141.37 141.37 55.77
Fractional coordinates of all 8 atoms:
Be: 0.000 0.000 0.000
Be: 0.750 0.250 0.500
Pb: 0.250 0.750 0.500
Pb: 0.500 0.500 0.000
C: 0.375 0.222 0.347
C: 0.778 0.125 0.153
C: 0.875 0.028 0.653
C: 0.972 0.625 0.847

DFT formation energy	1.35	eV/atom
space-group type	I-42d (122)
total magnetic moment	0.000	μB/atom

# 14
Entry from the Alexandria database: a geometry-optimized RbBiPS2 structure (PBEsol).

Lattice parameters (Å, degrees): 5.348 5.348 5.293 90.00 90.00 90.00
Fractional coordinates of all 5 atoms:
Rb: 0.000 0.000 0.000
Bi: 0.500 0.500 0.500
P: 0.500 0.500 0.000
S: 0.000 0.500 0.500
S: 0.500 0.000 0.500

electronic total energy	-3.820	eV/atom
space-group type	P4/mmm (123)
total magnetic moment	0.353	μB/atom

# 15
Entry from the Alexandria database: a geometry-optimized Cd5Ag3 structure (PBEsol).

Lattice parameters (Å, degrees): 5.890 5.890 4.285 90.00 90.00 95.41
Fractional coordinates of all 8 atoms:
Cd: 0.000 0.000 0.000
Cd: 0.000 0.500 0.000
Cd: 0.261 0.261 0.500
Cd: 0.500 0.000 0.000
Cd: 0.739 0.739 0.500
Ag: 0.246 0.754 0.500
Ag: 0.500 0.500 0.000
Ag: 0.754 0.246 0.500

DFT formation energy	-0.05	eV/atom
space-group type	Cmmm (65)
energy above the lowest structure with this stoichiometry	0.0000	eV per atom
total magnetic moment	0.000	μB/atom

# 16
Entry from the Alexandria database: a geometry-optimized LaTaSnH2 structure (PBEsol).

Lattice parameters (Å, degrees): 4.224 4.224 5.270 90.00 90.00 90.00
Fractional coordinates of all 5 atoms:
La: 0.000 0.000 0.000
Ta: 0.500 0.500 0.500
Sn: 0.500 0.500 0.000
H: 0.000 0.500 0.500
H: 0.500 0.000 0.500

electronic total energy	-5.517	eV/atom
space-group type	P4/mmm (123)
total magnetic moment	0.001	μB/atom

# 17
Entry from the Alexandria database: a geometry-optimized TiGePd structure (PBEsol).

Lattice parameters (Å, degrees): 6.548 6.548 3.687 90.00 90.00 120.00
Fractional coordinates of all 9 atoms:
Ti: 0.000 0.587 0.000
Ti: 0.413 0.413 0.000
Ti: 0.587 0.000 0.000
Ge: 0.000 0.000 0.000
Ge: 0.333 0.667 0.500
Ge: 0.667 0.333 0.500
Pd: 0.000 0.259 0.500
Pd: 0.259 0.000 0.500
Pd: 0.741 0.741 0.500

DFT formation energy	-0.74	eV/atom
space-group type	P-62m (189)
total magnetic moment	0.000	μB/atom

# 18
Entry from the Alexandria database: a geometry-optimized Sc2CoBr structure (PBEsol).

Lattice parameters (Å, degrees): 4.623 4.623 4.623 60.00 60.00 60.00
Fractional coordinates of all 4 atoms:
Sc: 0.250 0.250 0.250
Sc: 0.750 0.750 0.750
Co: 0.000 0.000 0.000
Br: 0.500 0.500 0.500

space-group type	Fm-3m (225)
energy above the lowest structure with this stoichiometry	0.2364	eV per atom
total magnetic moment	0.001	μB/atom

# 19
Entry from the Alexandria database: a geometry-optimized TbAg2 structure (PBEsol).

Lattice parameters (Å, degrees): 5.241 5.241 5.241 138.94 138.94 59.46
Fractional coordinates of all 3 atoms:
Tb: 0.000 0.000 0.000
Ag: 0.329 0.329 0.000
Ag: 0.671 0.671 0.000

DFT formation energy	-0.32	eV/atom
space-group type	I4/mmm (139)
total magnetic moment	0.000	μB/atom

# 20
Entry from the Alexandria database: a geometry-optimized Mn2CuRh structure (PBEsol).

Lattice parameters (Å, degrees): 2.640 3.530 5.212 90.00 90.00 90.00
Fractional coordinates of all 4 atoms:
Mn: 0.000 0.000 0.000
Mn: 0.500 0.500 0.244
Cu: 0.500 0.500 0.757
Rh: 0.000 0.000 0.502

DFT formation energy	0.06	eV/atom
space-group type	Pmm2 (25)
total magnetic moment	0.113	μB/atom